one) In5Ni3: relaxed, GGA-PBE.

a = 8.0242 Å, b = 8.6112 Å, c = 4.2024 Å
α = 90.00°, β = 90.00°, γ = 90.00°
Space group Cmmm (No. 65)
Asymmetric unit:
In 0.0000 0.0000 0.0000
In 0.2001 0.5000 0.5000
In 0.2500 0.2500 0.0000
Ni 0.0000 0.2175 0.5000
Ni 0.0000 0.5000 0.0000

***

two) In5Ni3: relaxed, GGA-PBE.

a = 7.5269 Å, b = 7.5269 Å, c = 6.0246 Å
α = 90.00°, β = 90.00°, γ = 120.00°
Space group P6_3/mcm (No. 193)
Asymmetric unit:
In 0.0000 0.2457 0.2500
In 0.3333 0.6667 0.0000
Ni 0.0000 0.4000 0.7500

***

Which one sits at the bottom of the stability order? one) does.

***

one) NpInNi: relaxed, GGA-PBE.

a = 10.8073 Å, b = 3.3438 Å, c = 7.9523 Å
α = 90.00°, β = 128.00°, γ = 90.00°
Space group C2/m (No. 12)
Asymmetric unit:
Np 0.1452 0.0000 0.4277
In 0.1538 0.5000 0.0521
Ni 0.1098 0.5000 0.6833

***

two) NpInNi: relaxed, GGA-PBE.

a = 3.0305 Å, b = 3.0305 Å, c = 12.3491 Å
α = 90.00°, β = 90.00°, γ = 90.00°
Space group I4mm (No. 107)
Asymmetric unit:
Np 0.0000 0.0000 0.0000
In 0.0000 0.0000 0.7113
Ni 0.0000 0.0000 0.3494

***

Which one sits at the bottom of the stability order? two) does.